(1)
## BeZnS2 (GGA-PBEsol)

Data for a relaxed BeZnS2 crystal.

As for the formation energy without anion corrections: -940.1 meV/atom. The density of states at the Fermi level is 0.0 states/eV/f.u. The total magnetization comes out at 0.00 μB/cell.

The structure in POSCAR format:
```
BeZnS2
1.0
-2.5594 2.5594 5.0308
2.5594 -2.5594 5.0308
2.5594 2.5594 -5.0308
Be Zn S
2 2 4
direct
0.0000 0.0000 0.0000
0.7500 0.2500 0.5000
0.2500 0.7500 0.5000
0.5000 0.5000 0.0000
0.0903 0.6250 0.9653
0.3750 0.3403 0.4653
0.6597 0.1250 0.0347
0.8750 0.9097 0.5347
```

(2)
## BeZnS2 (GGA-PBEsol)

Data for a relaxed BeZnS2 crystal.

As for the formation energy without anion corrections: -419.2 meV/atom. The total magnetization comes out at 0.00 μB/cell.

The structure in POSCAR format:
```
BeZnS2
1.0
1.8827 1.0870 6.2714
-1.8827 1.0870 6.2714
0.0000 -2.1739 6.2714
Be Zn S
1 1 2
direct
0.0000 0.0000 0.0000
0.5000 0.5000 0.5000
0.1002 0.1002 0.1002
0.8998 0.8998 0.8998
```